1.
Crystalline ZnCu3Si at its relaxed geometry, computed with GGA-PBE.

a b c (Å): 6.717 6.717 6.717
angles (deg): 44.95 44.95 44.95
Atoms (fractional coordinates):
Zn  0.391  0.391  0.391
Zn  0.609  0.609  0.609
Cu  0.103  0.103  0.609
Cu  0.609  0.103  0.103
Cu  0.103  0.609  0.103
Cu  0.897  0.897  0.391
Cu  0.897  0.391  0.897
Cu  0.391  0.897  0.897
Si  0.169  0.169  0.169
Si  0.831  0.831  0.831

Output
As for the energy above the most stable polymorph in this dataset: 0 meV per atom. Its total energy is -3.81 eV/atom.

***

2.
Crystalline Sc2ReGeC at its relaxed geometry, computed with GGA-PBE.

a b c (Å): 4.503 4.503 3.983
angles (deg): 90.00 90.00 90.00
Atoms (fractional coordinates):
Sc  0.000  0.500  0.000
Sc  0.500  0.000  0.000
Re  0.000  0.000  0.500
Ge  0.500  0.500  0.500
C  0.000  0.000  0.000

Output
Its total energy is -8.22 eV/atom. Its formation energy is -429 meV per atom.

***

3.
Crystalline MgFeMo2 at its relaxed geometry, computed with GGA-PBE.

a b c (Å): 2.731 2.731 8.222
angles (deg): 90.00 90.00 97.36
Atoms (fractional coordinates):
Fe  0.500  0.500  0.250
Mg  0.500  0.500  0.750
Mo  0.000  0.000  0.036
Mo  0.000  0.000  0.464

Output
Its total energy is -7.64 eV/atom. Its formation energy is 287 meV per atom.

***

4.
Crystalline CaTa2SiN at its relaxed geometry, computed with GGA-PBE.

a b c (Å): 4.180 5.058 4.180
angles (deg): 90.00 90.00 90.00
Atoms (fractional coordinates):
Ca  0.500  0.500  0.500
N  0.000  0.000  0.000
Si  0.000  0.500  0.000
Ta  0.000  0.000  0.500
Ta  0.500  0.000  0.000

Output
Its total energy is -7.87 eV/atom.

***

5.
Crystalline Ca2Ga4AgAu3 at its relaxed geometry, computed with GGA-PBE.

a b c (Å): 4.377 4.377 10.955
angles (deg): 90.00 90.00 90.00
Atoms (fractional coordinates):
Ca  0.500  0.000  0.248
Ca  0.000  0.500  0.752
Ga  0.500  0.500  0.000
Ga  0.000  0.000  0.000
Ga  0.500  0.000  0.633
Ga  0.000  0.500  0.367
Ag  0.500  0.500  0.500
Au  0.000  0.000  0.500
Au  0.500  0.000  0.863
Au  0.000  0.500  0.137

Output
Its total energy is -3.39 eV/atom. Its formation energy is -508 meV per atom.

***

6.
Crystalline YHoAlTl at its relaxed geometry, computed with GGA-PBE.

a b c (Å): 3.622 3.622 7.743
angles (deg): 90.00 90.00 90.00
Atoms (fractional coordinates):
Y  0.000  0.000  0.372
Ho  0.000  0.000  0.842
Al  0.500  0.500  0.609
Tl  0.500  0.500  0.105

Output
As for the energy above the most stable polymorph in this dataset: 0 meV per atom. Its total energy is -4.66 eV/atom. Its formation energy is -370 meV per atom.

***

7.
Crystalline Ba3AcC4O12 at its relaxed geometry, computed with GGA-PBE.

a b c (Å): 7.078 7.078 7.078
angles (deg): 98.04 98.04 98.04
Each line ends with the local moment (μB).
Atoms (fractional coordinates):
Ba  0.503  0.497  0.000  0.02
Ba  0.497  0.000  0.503  0.02
Ba  0.000  0.503  0.497  0.02
Ac  0.000  0.000  0.000  0.09
C  0.982  0.018  0.500  0.03
C  0.018  0.500  0.982  0.03
C  0.500  0.982  0.018  0.03
C  0.500  0.500  0.500  0.00
O  0.500  0.378  0.622  0.00
O  0.897  0.500  0.103  0.00
O  0.103  0.897  0.500  0.00
O  0.500  0.103  0.897  0.00
O  0.353  0.947  0.109  0.00
O  0.109  0.353  0.947  0.00
O  0.947  0.109  0.353  0.00
O  0.647  0.891  0.053  0.00
O  0.053  0.647  0.891  0.00
O  0.891  0.053  0.647  0.00
O  0.622  0.500  0.378  0.00
O  0.378  0.622  0.500  0.00

Output
Its total energy is -7.45 eV/atom.

***

8.
Crystalline TaHgSe4 at its relaxed geometry, computed with GGA-PBE.

a b c (Å): 6.531 7.379 7.389
angles (deg): 99.62 101.55 101.45
Atoms (fractional coordinates):
Ta  0.750  0.001  0.999
Ta  0.250  0.999  0.001
Hg  0.250  0.487  0.513
Hg  0.750  0.513  0.487
Se  0.092  0.299  0.101
Se  0.024  0.874  0.236
Se  0.408  0.899  0.701
Se  0.592  0.101  0.299
Se  0.908  0.701  0.899
Se  0.523  0.236  0.875
Se  0.477  0.764  0.125
Se  0.976  0.126  0.764

Output
As for the energy above the most stable polymorph in this dataset: 0 meV per atom. Its total energy is -4.74 eV/atom.

***

Copy entry 6 word for word.
Crystalline YHoAlTl at its relaxed geometry, computed with GGA-PBE.

a b c (Å): 3.622 3.622 7.743
angles (deg): 90.00 90.00 90.00
Atoms (fractional coordinates):
Y  0.000  0.000  0.372
Ho  0.000  0.000  0.842
Al  0.500  0.500  0.609
Tl  0.500  0.500  0.105

Output
As for the energy above the most stable polymorph in this dataset: 0 meV per atom. Its total energy is -4.66 eV/atom. Its formation energy is -370 meV per atom.